Record 1
The following is a DFT calculation (SCAN) of a PBEsol-optimized structure of TaAuSe2.

Total DFT energy (no corrections) ... -174.69 eV/cell
Total magnetic moment ... 0.00 μB/f.u.

Cell and atoms, written as extended XYZ:
```
4
Lattice="-1.017 2.967 -1.113 -4.267 -1.574 -0.298 -0.792 1.336 4.285" Properties=species:S:1:pos:R:3 pbc="T T T"
Ta -3.038 1.364 1.437
Au -0.509 1.484 -0.556
Se -2.133 -0.787 -0.149
Se -0.396 0.668 2.143
```

=====

Record 2
The following is a DFT calculation (SCAN) of a PBEsol-optimized structure of P6Pb10O25.

Total DFT energy (no corrections) ... -1058.71 eV/cell
Total magnetic moment ... 0.00 μB/f.u.

Cell and atoms, written as extended XYZ:
```
41
Lattice="7.354 0.000 0.000 0.000 9.830 0.000 0.000 -4.915 8.513" Properties=species:S:1:pos:R:3 pbc="T T T"
O 6.774 5.741 0.155
O 1.952 0.000 5.676
O 5.546 3.332 1.584
O 1.839 1.390 1.065
O 1.862 6.650 2.689
O 1.839 5.142 6.777
O 5.546 6.793 2.093
O 0.603 2.990 6.307
O 4.283 6.807 4.887
O 5.528 0.783 1.697
O 3.115 3.014 6.326
O 0.603 -2.042 7.949
O 3.115 -2.071 7.960
O 0.603 -0.948 2.770
O 6.774 2.179 3.464
O 5.528 -3.838 6.987
O 3.115 -0.943 2.740
O 6.774 6.826 4.894
O 1.862 4.177 4.415
O 1.839 8.213 0.671
O 4.283 2.194 3.451
O 5.528 3.054 8.343
O 5.546 4.621 4.836
O 4.283 5.744 0.175
O 1.862 3.919 1.410
Pb 5.537 -1.247 7.843
Pb 1.876 -2.250 5.656
Pb 5.537 -1.254 3.512
Pb 3.663 0.000 0.000
Pb 0.079 4.915 2.838
Pb 1.876 1.143 3.737
Pb 0.034 0.000 0.000
Pb 5.537 2.500 5.671
Pb 3.645 4.915 2.838
Pb 1.876 1.108 7.634
P 1.854 8.131 2.228
P 1.854 3.836 5.928
P 5.534 6.596 0.534
P 5.534 6.070 5.445
P 5.534 2.080 2.534
P 1.854 2.779 0.358
```

=====

Record 3
The following is a DFT calculation (SCAN) of a PBEsol-optimized structure of CrCo2Rh.

Total DFT energy (no corrections) ... -86.21 eV/cell
Total magnetic moment ... 5.31 μB/f.u.

Cell and atoms, written as extended XYZ:
```
4
Lattice="-1.089 1.464 2.066 -3.298 0.783 -2.292 0.384 -4.511 1.559" Properties=species:S:1:pos:R:3 pbc="T T T"
Co -0.836 -1.566 0.669
Co -3.167 -0.698 0.665
Cr -0.544 0.732 1.033
Rh -1.649 0.392 -1.146
```

=====

Record 4
The following is a DFT calculation (SCAN) of a PBEsol-optimized structure of InMo2Br.

Total DFT energy (no corrections) ... -118.74 eV/cell
Total magnetic moment ... 0.00 μB/f.u.

Cell and atoms, written as extended XYZ:
```
4
Lattice="4.249 0.000 0.000 0.000 4.249 0.000 -2.125 -2.125 3.907" Properties=species:S:1:pos:R:3 pbc="T T T"
Br 2.125 2.125 0.000
In 0.000 2.125 1.954
Mo 2.125 0.000 1.954
Mo 0.000 0.000 0.000
```

=====

Record 5
The following is a DFT calculation (SCAN) of a PBEsol-optimized structure of ErAgPb.

Total DFT energy (no corrections) ... -477.09 eV/cell
Total magnetic moment ... 0.00 μB/f.u.

Cell and atoms, written as extended XYZ:
```
9
Lattice="-0.651 -3.103 -3.151 5.713 -3.813 2.575 -6.732 -1.257 2.628" Properties=species:S:1:pos:R:3 pbc="T T T"
Pb 1.565 -2.961 2.592
Pb -0.325 -1.551 -1.575
Pb -2.584 -2.109 2.610
Er -0.764 -3.735 0.665
Er -4.158 -2.267 -0.079
Er 2.927 -3.722 -0.110
Ag -0.769 -3.828 3.929
Ag 1.399 -0.934 0.630
Ag -1.648 -0.308 0.644
```

=====

Record 6
The following is a DFT calculation (SCAN) of a PBEsol-optimized structure of IrW2F.

Total DFT energy (no corrections) ... -214.29 eV/cell
Total magnetic moment ... 0.00 μB/f.u.

Cell and atoms, written as extended XYZ:
```
4
Lattice="-0.210 -3.641 2.260 2.909 -3.089 -0.633 2.940 -0.828 3.013" Properties=species:S:1:pos:R:3 pbc="T T T"
W 4.230 -5.668 3.479
W 1.410 -1.889 1.160
Ir 2.820 -3.779 2.320
F 0.000 0.000 0.000
```

=====

Record 7
The following is a DFT calculation (SCAN) of a PBEsol-optimized structure of NaSr2CrF8.

Total DFT energy (no corrections) ... -558.05 eV/cell
Total magnetic moment ... 3.00 μB/f.u.

Cell and atoms, written as extended XYZ:
```
48
Lattice="-3.605 4.641 2.084 -4.614 -0.828 -6.141 -6.340 -8.780 8.586" Properties=species:S:1:pos:R:3 pbc="T T T"
F -8.066 -6.155 0.833
F -6.776 -2.656 4.810
F -3.969 0.746 -2.636
F -8.412 -7.507 3.278
F -5.488 -1.240 -1.811
F -9.064 -1.081 5.098
F -8.309 0.378 -0.965
F -8.051 -5.683 7.773
F -10.252 -4.031 1.680
F -12.995 -3.967 2.765
F -6.251 -5.344 5.494
F -1.564 -1.000 1.764
F -7.342 -7.966 6.328
F -3.974 0.432 0.411
F -10.585 -5.398 4.118
F -6.020 -3.177 2.318
F -7.977 -4.599 3.527
F -7.783 -2.311 -0.281
F -6.508 0.717 -3.244
F -6.148 2.541 1.251
F -4.308 -0.936 2.849
F -9.072 -3.727 6.340
F -10.202 -1.125 0.076
F -11.113 -8.475 3.319
F -10.590 -5.712 7.165
F -7.217 2.999 -1.800
F -3.447 3.509 1.210
F -4.358 -3.841 4.453
F -6.583 -0.368 1.002
F -6.493 1.189 3.696
F -5.496 -3.886 -0.569
F -8.539 -1.790 2.211
Na -1.903 0.100 -0.354
Na -7.961 -3.955 1.204
Na -12.657 -5.066 4.883
Na -6.598 -1.011 3.324
Cr -6.133 -4.190 3.930
Cr -8.426 -0.777 0.599
Cr -9.500 -4.482 8.085
Cr -5.060 -0.484 -3.556
Sr -5.853 1.288 -0.839
Sr -10.010 -2.994 3.934
Sr -4.550 -1.972 0.595
Sr -4.305 1.516 2.579
Sr -7.425 -1.775 6.935
Sr -10.255 -6.482 1.949
Sr -8.706 -6.255 5.367
Sr -7.134 -3.191 -2.406
```

=====

Record 8
The following is a DFT calculation (SCAN) of a PBEsol-optimized structure of CrPI2N.

Total DFT energy (no corrections) ... -108.71 eV/cell
Total magnetic moment ... 1.99 μB/f.u.

Cell and atoms, written as extended XYZ:
```
5
Lattice="3.559 0.000 0.000 0.000 5.358 0.000 0.000 0.000 5.358" Properties=species:S:1:pos:R:3 pbc="T T T"
I 0.000 2.679 0.000
I 0.000 0.000 2.679
Cr 0.000 0.000 0.000
P 1.780 2.679 2.679
N 1.780 0.000 0.000
```

=====

Record 9
The following is a DFT calculation (SCAN) of a PBEsol-optimized structure of Be5Cu.

Total DFT energy (no corrections) ... -37.24 eV/cell
Total magnetic moment ... 0.00 μB/f.u.

Cell and atoms, written as extended XYZ:
```
6
Lattice="3.219 0.000 0.000 0.000 3.207 0.000 -1.610 0.000 4.879" Properties=species:S:1:pos:R:3 pbc="T T T"
Cu 1.610 0.000 0.000
Be 0.000 1.604 3.201
Be 1.610 0.000 3.215
Be 0.000 0.000 1.665
Be 1.610 1.604 1.678
Be 0.000 1.604 0.000
```

=====

Record 10
The following is a DFT calculation (SCAN) of a PBEsol-optimized structure of FeRhAu.

Total DFT energy (no corrections) ... -121.25 eV/cell
Total magnetic moment ... 3.96 μB/f.u.

Cell and atoms, written as extended XYZ:
```
3
Lattice="-0.009 1.672 2.197 -2.592 -0.759 0.567 3.203 -4.591 1.773" Properties=species:S:1:pos:R:3 pbc="T T T"
Rh 1.214 -2.639 2.014
Fe -0.633 -0.996 2.490
Au 0.020 -0.044 0.033
```

=====

Record 11
The following is a DFT calculation (SCAN) of a PBEsol-optimized structure of Tb2Ge5Ir3.

Total DFT energy (no corrections) ... -822.46 eV/cell
Total magnetic moment ... 0.00 μB/f.u.

Cell and atoms, written as extended XYZ:
```
20
Lattice="5.948 0.000 0.000 2.974 7.744 0.005 2.974 1.055 7.671" Properties=species:S:1:pos:R:3 pbc="T T T"
Tb 8.922 4.071 6.597
Tb 5.948 7.088 3.139
Tb 2.974 4.728 1.079
Tb 5.948 1.711 4.537
Ge 4.461 4.399 3.838
Ge 10.409 6.840 5.967
Ge 5.948 3.004 7.178
Ge 7.435 4.399 3.838
Ge 7.435 6.840 5.967
Ge 8.922 7.519 2.002
Ge 1.487 1.959 1.709
Ge 5.948 5.795 0.499
Ge 4.461 1.959 1.709
Ge 2.974 1.280 5.674
Ir 1.487 0.000 0.000
Ir 8.922 6.395 4.079
Ir 5.948 3.890 1.894
Ir 2.974 2.404 3.597
Ir 4.461 0.000 0.000
Ir 5.948 4.909 5.783
```

=====

Record 12
The following is a DFT calculation (SCAN) of a PBEsol-optimized structure of Fe2AsPb.

Total DFT energy (no corrections) ... -131.54 eV/cell
Total magnetic moment ... 5.02 μB/f.u.

Cell and atoms, written as extended XYZ:
```
4
Lattice="4.062 0.000 0.000 2.031 3.517 0.000 2.031 1.172 5.065" Properties=species:S:1:pos:R:3 pbc="T T T"
Fe 2.031 1.172 0.340
Fe 6.092 3.517 4.725
As 0.000 0.000 0.000
Pb 4.062 2.345 2.533
```

=====

Record 13
The following is a DFT calculation (SCAN) of a PBEsol-optimized structure of Co2MoPdF.

Total DFT energy (no corrections) ... -99.56 eV/cell
Total magnetic moment ... 7.71 μB/f.u.

Cell and atoms, written as extended XYZ:
```
5
Lattice="-0.369 4.497 0.305 -4.086 -0.463 1.883 2.012 -0.129 4.335" Properties=species:S:1:pos:R:3 pbc="T T T"
Co -2.043 -0.231 0.941
Co -0.184 2.249 0.152
Mo 1.006 -0.064 2.168
Pd 0.000 0.000 0.000
F -1.221 1.953 3.261
```

=====

Record 14
The following is a DFT calculation (SCAN) of a PBEsol-optimized structure of SrBe2Pt.

Total DFT energy (no corrections) ... -103.85 eV/cell
Total magnetic moment ... 0.00 μB/f.u.

Cell and atoms, written as extended XYZ:
```
4
Lattice="-0.182 2.821 -2.801 2.367 -3.137 -0.487 -5.465 -1.426 -1.081" Properties=species:S:1:pos:R:3 pbc="T T T"
Be -2.271 -0.006 -2.686
Be -1.008 -1.736 -1.683
Sr -0.091 1.411 -1.400
Pt -2.732 -0.713 -0.540
```

=====

Record 15
The following is a DFT calculation (SCAN) of a PBEsol-optimized structure of Hf2AlZn2.

Total DFT energy (no corrections) ... -323.80 eV/cell
Total magnetic moment ... 0.00 μB/f.u.

Cell and atoms, written as extended XYZ:
```
10
Lattice="-3.661 -0.435 1.724 -0.075 -6.254 -1.739 2.835 -1.596 5.617" Properties=species:S:1:pos:R:3 pbc="T T T"
Al 1.380 -3.925 1.939
Al 0.000 0.000 0.000
Zn 1.035 -1.411 1.840
Zn 0.326 -4.160 -0.359
Zn 1.725 -6.439 2.038
Zn 2.434 -3.690 4.237
Hf 0.053 -2.341 4.325
Hf -1.377 -2.558 1.234
Hf -0.954 -5.944 1.277
Hf 0.476 -5.727 4.368
```

=====

Record 16
The following is a DFT calculation (SCAN) of a PBEsol-optimized structure of Li2ZnSi.

Total DFT energy (no corrections) ... -58.10 eV/cell
Total magnetic moment ... 0.00 μB/f.u.

Cell and atoms, written as extended XYZ:
```
8
Lattice="-2.174 -2.998 -2.100 1.574 -0.828 3.868 -6.474 2.479 3.164" Properties=species:S:1:pos:R:3 pbc="T T T"
Zn -1.520 -2.047 0.180
Zn -5.555 0.700 4.752
Li -3.637 -1.236 1.215
Li -3.438 -0.110 3.718
Li -1.577 0.604 0.771
Li -4.898 1.876 2.394
Si -5.867 -0.382 2.305
Si -1.208 -0.964 2.628
```

=====

Record 17
The following is a DFT calculation (SCAN) of a PBEsol-optimized structure of CaGdZn2.

Total DFT energy (no corrections) ... -92.58 eV/cell
Total magnetic moment ... 1.32 μB/f.u.

Cell and atoms, written as extended XYZ:
```
4
Lattice="5.034 0.000 0.000 2.517 4.360 0.000 2.517 1.453 4.111" Properties=species:S:1:pos:R:3 pbc="T T T"
Ca 0.000 0.000 0.000
Gd 5.034 2.907 2.055
Zn 2.517 1.453 1.028
Zn 7.552 4.360 3.083
```

=====

Record 18
The following is a DFT calculation (SCAN) of a PBEsol-optimized structure of CrFe2Ag.

Total DFT energy (no corrections) ... -84.81 eV/cell
Total magnetic moment ... 2.03 μB/f.u.

Cell and atoms, written as extended XYZ:
```
4
Lattice="-1.813 -1.142 -1.619 2.414 -0.361 -2.449 1.287 -4.859 1.985" Properties=species:S:1:pos:R:3 pbc="T T T"
Cr 1.330 -4.639 -0.446
Fe 1.275 -4.815 1.967
Fe 0.575 -1.787 -1.611
Ag 0.638 -2.410 0.985
```

=====

Record 19
The following is a DFT calculation (SCAN) of a PBEsol-optimized structure of Cr2NiAg.

Total DFT energy (no corrections) ... -82.99 eV/cell
Total magnetic moment ... 0.00 μB/f.u.

Cell and atoms, written as extended XYZ:
```
4
Lattice="2.555 0.013 0.000 -0.891 2.395 0.000 0.000 0.000 8.127" Properties=species:S:1:pos:R:3 pbc="T T T"
Cr 0.000 0.000 7.870
Cr 0.832 1.204 6.116
Ni 0.000 0.000 4.266
Ag 0.832 1.204 2.067
```

=====

Record 20
The following is a DFT calculation (SCAN) of a PBEsol-optimized structure of CsFe3B.

Total DFT energy (no corrections) ... -93.68 eV/cell
Total magnetic moment ... 5.94 μB/f.u.

Cell and atoms, written as extended XYZ:
```
5
Lattice="-0.794 2.003 -3.487 -1.565 -3.429 -1.613 -3.705 1.019 1.429" Properties=species:S:1:pos:R:3 pbc="T T T"
Fe -0.397 1.002 -1.744
Fe -1.852 0.509 0.714
Fe -0.782 -1.714 -0.807
Cs -3.032 -0.203 -1.836
B 0.000 0.000 0.000
```

=====

Record 21
The following is a DFT calculation (SCAN) of a PBEsol-optimized structure of Y2InTe.

Total DFT energy (no corrections) ... -130.36 eV/cell
Total magnetic moment ... 0.00 μB/f.u.

Cell and atoms, written as extended XYZ:
```
4
Lattice="4.008 0.000 0.000 0.000 4.630 0.000 0.000 0.000 6.104" Properties=species:S:1:pos:R:3 pbc="T T T"
Y 2.004 2.315 0.000
Y 0.000 0.000 3.052
Te 2.004 2.315 3.052
In 0.000 0.000 0.000
```

=====

Record 22
The following is a DFT calculation (SCAN) of a PBEsol-optimized structure of ZnPt2Rh.

Total DFT energy (no corrections) ... -188.78 eV/cell
Total magnetic moment ... 0.00 μB/f.u.

Cell and atoms, written as extended XYZ:
```
4
Lattice="2.728 0.000 0.000 0.000 4.475 0.000 0.000 0.000 4.645" Properties=species:S:1:pos:R:3 pbc="T T T"
Pt 0.000 0.000 0.274
Pt 0.000 2.237 3.182
Rh 1.364 0.000 2.611
Zn 1.364 2.237 0.900
```

=====

Record 23
The following is a DFT calculation (SCAN) of a PBEsol-optimized structure of ScCoBr2.

Total DFT energy (no corrections) ... -70.89 eV/cell
Total magnetic moment ... 0.00 μB/f.u.

Cell and atoms, written as extended XYZ:
```
4
Lattice="4.587 0.000 0.000 2.294 3.973 0.000 2.294 1.324 3.746" Properties=species:S:1:pos:R:3 pbc="T T T"
Sc 0.000 0.000 0.000
Br 2.294 1.324 0.936
Br 6.881 3.973 2.809
Co 4.587 2.649 1.873
```

=====

Record 24
The following is a DFT calculation (SCAN) of a PBEsol-optimized structure of YZr2Br.

Total DFT energy (no corrections) ... -108.86 eV/cell
Total magnetic moment ... 0.00 μB/f.u.

Cell and atoms, written as extended XYZ:
```
4
Lattice="-0.008 2.200 -2.419 -5.073 -0.390 -0.339 -0.569 4.130 3.758" Properties=species:S:1:pos:R:3 pbc="T T T"
Br -0.288 3.165 0.670
Y -2.821 1.870 1.710
Zr -2.540 0.905 -1.379
Zr 0.000 0.000 0.000
```